Computed, not measured: a geometry-optimized TmPuBr6 structure at the PBE level of DFT.

```
data_TmPuBr6
_space_group_name_H-M_alt 'C 1 2/m 1'
_space_group_IT_number 12
_cell_length_a 7.4885
_cell_length_b 12.6539
_cell_length_c 7.3965
_cell_angle_alpha 90.00
_cell_angle_beta 95.19
_cell_angle_gamma 90.00
loop_
_space_group_symop_operation_xyz
'x,y,z'
'-x,-y,-z'
'-x,y,-z'
'x,-y,z'
'x+1/2,y+1/2,z'
'-x+1/2,-y+1/2,-z'
'-x+1/2,y+1/2,-z'
'x+1/2,-y+1/2,z'
loop_
_atom_site_label
_atom_site_type_symbol
_atom_site_fract_x
_atom_site_fract_y
_atom_site_fract_z
Tm1 Tm 0.0000 0.0000 0.0000
Pu1 Pu 0.0000 0.0000 0.5000
Br1 Br 0.1450 0.1476 0.2514
Br2 Br 0.2109 0.5000 0.2116
```

Output
The magnetization is 5.00 μB per formula unit. The value obtained for the formation energy from raw total energies is -1.656 eV/atom. As for the total energy: -84.2 eV per cell. For the excess energy over the best structure of this formula in the dataset, the calculation gives 0 meV per atom.